No. 1
A plane-wave DFT calculation with PBE-GGA was carried out for a relaxed BHF crystal.

## Properties
Its crystal system is orthorhombic. Its polymorph energy (0 for the lowest one) is 25.93 kcal/mol of atoms.

```
data_BHF
_chemical_formula_sum 'B1 H1 F1'
_cell_length_a 5.3904
_cell_length_b 4.8700
_cell_length_c 2.7867
_cell_angle_alpha 84.87
_cell_angle_beta 64.14
_cell_angle_gamma 30.99
_symmetry_space_group_name_H-M 'P 1'
_symmetry_Int_Tables_number 1
_symmetry_space_group_name_Hall 'P 1'
loop_
_atom_site_label
_atom_site_type_symbol
_atom_site_fract_x
_atom_site_fract_y
_atom_site_fract_z
B1 B 0.0000 0.0000 0.0000
H1 H 0.4088 0.4088 0.5912
F1 F 0.6257 0.6257 0.3743
```

No. 2
A plane-wave DFT calculation with PBE-GGA was carried out for a relaxed SiPt2 crystal.

## Properties
For the formation energy from raw total energies, the calculation gives -633 meV per atom. Its crystal system is hexagonal.

```
data_SiPt2
_chemical_formula_sum 'Si3 Pt6'
_cell_length_a 6.5185
_cell_length_b 6.5185
_cell_length_c 3.6381
_cell_angle_alpha 90.00
_cell_angle_beta 90.00
_cell_angle_gamma 120.00
_symmetry_space_group_name_H-M 'P 1'
_symmetry_Int_Tables_number 1
_symmetry_space_group_name_Hall 'P 1'
loop_
_atom_site_label
_atom_site_type_symbol
_atom_site_fract_x
_atom_site_fract_y
_atom_site_fract_z
Si1 Si 0.0000 0.0000 0.0000
Si2 Si 0.3333 0.6667 0.5000
Si3 Si 0.6667 0.3333 0.5000
Pt1 Pt 0.0000 0.3825 0.0000
Pt2 Pt 0.0000 0.7238 0.5000
Pt3 Pt 0.2762 0.2762 0.5000
Pt4 Pt 0.3825 0.0000 0.0000
Pt5 Pt 0.6175 0.6175 0.0000
Pt6 Pt 0.7238 0.0000 0.5000
```

Number 1: D(E_F) 0.44 states/eV/f.u.. Number 2: D(E_F) 0.69 states/eV/f.u..